Entry 1:
This record from Alexandria via LeMat-Bulk describes an optimized crystal structure of ReAg2B. The functional is PBE.

Unit cell a=3.4778 b=3.4778 c=10.4120 alpha=80.39 beta=80.39 gamma=90.00
Element x y z (fractional)
Ag  0.3750  0.3762  0.7500
Ag  0.8750  0.8738  0.7500
Ag  0.1262  0.6250  0.2500
Ag  0.6238  0.1250  0.2500
B  0.5000  0.5000  0.0000
B  0.2500  0.7500  0.5000
Re  0.7500  0.2500  0.5000
Re  0.0000  0.0000  0.0000

## Properties
Its space-group type is I-42d (122). The volume comes out at 122.4 Å³/cell. Its size of the total moment is 0.00 Bohr magnetons per cell. Its total energy is -40.34 eV per cell.

Entry 2:
This record from Alexandria via LeMat-Bulk describes an optimized crystal structure of BeCu3. The functional is PBE.

Unit cell a=4.6309 b=4.6309 c=4.6309 alpha=116.90 beta=116.90 gamma=116.90
Element x y z (fractional)
Be  0.0000  0.0000  0.0000
Cu  0.0000  0.5000  0.5000
Cu  0.5000  0.5000  0.0000
Cu  0.5000  0.0000  0.5000

## Properties
Its space-group type is R-3m (166). The volume comes out at 44.5 Å³/cell. Its size of the total moment is 0.00 Bohr magnetons per cell. Its total energy is -15.87 eV per cell.

Entry 3:
This record from Alexandria via LeMat-Bulk describes an optimized crystal structure of La4Pr6Th. The functional is PBE.

Unit cell a=8.9795 b=8.9795 c=9.9078 alpha=90.00 beta=90.00 gamma=90.00
Element x y z (fractional)
La  0.8550  0.3550  0.7500
La  0.3550  0.1450  0.7500
La  0.3550  0.1450  0.2500
La  0.8550  0.3550  0.2500
La  0.1450  0.6450  0.7500
La  0.6450  0.8550  0.7500
La  0.6450  0.8550  0.2500
La  0.1450  0.6450  0.2500
Pr  0.5000  0.5000  0.3302
Pr  0.0000  0.0000  0.1698
Pr  0.0000  0.0000  0.8302
Pr  0.5000  0.5000  0.6698
Pr  0.6529  0.1550  0.5000
Pr  0.3450  0.8471  0.0000
Pr  0.1529  0.3450  0.0000
Pr  0.8471  0.6550  0.0000
Pr  0.3471  0.8450  0.5000
Pr  0.6550  0.1529  0.0000
Pr  0.1550  0.3471  0.5000
Pr  0.8450  0.6529  0.5000
Th  0.0000  0.0000  0.5000
Th  0.5000  0.5000  0.0000

## Properties
Its space-group type is P4/mnc (128). The volume comes out at 798.9 Å³/cell. Its size of the total moment is 0.00 Bohr magnetons per cell. Its total energy is -108.60 eV per cell.

Entry 4:
This record from Alexandria via LeMat-Bulk describes an optimized crystal structure of Ba2LiSnHg6. The functional is PBE.

Unit cell a=7.6363 b=8.0208 c=7.7264 alpha=45.44 beta=79.77 gamma=97.89
Element x y z (fractional)
Hg  0.7161  0.2311  0.0554
Hg  0.0978  0.2338  0.1816
Hg  0.9022  0.7662  0.8184
Hg  0.3024  0.3013  0.4682
Hg  0.2839  0.7689  0.9446
Hg  0.6976  0.6987  0.5318
Sn  0.0000  0.0000  0.0000
Ba  0.2576  0.7280  0.4710
Ba  0.7424  0.2720  0.5290
Li  0.5000  0.5000  0.0000

## Properties
Its space-group type is P-1 (2). The volume comes out at 307.8 Å³/cell. Its size of the total moment is 0.00 Bohr magnetons per cell. Its total energy is -14.99 eV per cell.

Entry 5:
This record from Alexandria via LeMat-Bulk describes an optimized crystal structure of DyYAlRu. The functional is PBE.

Unit cell a=4.9610 b=4.9610 c=4.9610 alpha=60.00 beta=60.00 gamma=60.00
Element x y z (fractional)
Dy  0.0000  0.0000  0.0000
Ru  0.7500  0.7500  0.7500
Al  0.2500  0.2500  0.2500
Y  0.5000  0.5000  0.5000

## Properties
Its space-group type is F-43m (216). The volume comes out at 86.3 Å³/cell. Its size of the total moment is 0.00 Bohr magnetons per cell. Its total energy is -25.49 eV per cell.

Entry 6:
This record from Alexandria via LeMat-Bulk describes an optimized crystal structure of CeAlVGe2. The functional is PBE.

Unit cell a=5.7834 b=5.6094 c=5.8184 alpha=90.00 beta=90.00 gamma=90.00
Element x y z (fractional)
V  0.0000  0.5000  0.0000
V  0.0000  0.0000  0.0000
Ge  0.7450  0.2500  0.2709
Ge  0.2550  0.7500  0.7291
Ge  0.2550  0.7500  0.2709
Ge  0.7450  0.2500  0.7291
Ce  0.2327  0.2500  0.5000
Ce  0.7673  0.7500  0.5000
Al  0.6117  0.7500  0.0000
Al  0.3883  0.2500  0.0000

## Properties
Its space-group type is Pmma (51). The volume comes out at 188.8 Å³/cell. Its size of the total moment is 0.24 Bohr magnetons per cell. Its total energy is -60.09 eV per cell.

Entry 7:
This record from Alexandria via LeMat-Bulk describes an optimized crystal structure of Er2Ga5Ni. The functional is PBE.

Unit cell a=6.0301 b=6.0301 c=6.0301 alpha=86.72 beta=121.91 gamma=121.91
Element x y z (fractional)
Ga  0.5342  0.2863  0.2863
Ga  0.0000  0.7522  0.2863
Ga  0.0000  0.2863  0.7522
Ga  0.0000  0.2173  0.2173
Ga  0.4658  0.7522  0.7522
Ni  0.0000  0.8821  0.8821
Er  0.5000  0.2729  0.7729
Er  0.5000  0.7729  0.2729

## Properties
Its space-group type is I4mm (107). The volume comes out at 150.3 Å³/cell. Its size of the total moment is 0.00 Bohr magnetons per cell. Its total energy is -33.67 eV per cell.

Entry 8:
This record from Alexandria via LeMat-Bulk describes an optimized crystal structure of Y3Ga4Pd2. The functional is PBE.

Unit cell a=4.4220 b=5.7652 c=8.5077 alpha=111.69 beta=90.00 gamma=112.55
Element x y z (fractional)
Ga  0.0218  0.0437  0.3602
Ga  0.7423  0.4845  0.0817
Ga  0.9782  0.9563  0.6398
Ga  0.2577  0.5155  0.9183
Pd  0.5979  0.1957  0.2664
Pd  0.4021  0.8043  0.7336
Y  0.6785  0.3570  0.6455
Y  0.0000  0.0000  0.0000
Y  0.3215  0.6430  0.3545

## Properties
Its space-group type is C2/m (12). The volume comes out at 183.6 Å³/cell. The relative energy among the computed polymorphs comes out at 0.000 eV/atom. Its size of the total moment is 0.00 Bohr magnetons per cell.

Entry 9:
This record from Alexandria via LeMat-Bulk describes an optimized crystal structure of Ba2PuZrS6. The functional is PBE.

Unit cell a=7.2677 b=7.2664 c=10.2752 alpha=90.00 beta=90.00 gamma=90.00
Element x y z (fractional)
S  0.0000  0.7500  0.7536
S  0.7461  0.0030  0.5000
S  0.2537  0.4959  0.5000
S  0.2539  0.0030  0.5000
S  0.7537  0.5041  0.0000
S  0.0000  0.7500  0.2464
S  0.5000  0.2500  0.7464
S  0.7463  0.4959  0.5000
S  0.7539  0.9970  0.0000
S  0.2461  0.9970  0.0000
S  0.5000  0.2500  0.2536
S  0.2463  0.5041  0.0000
Ba  0.0000  0.2495  0.7506
Ba  0.0000  0.2495  0.2494
Ba  0.5000  0.7505  0.7494
Ba  0.5000  0.7505  0.2506
Zr  0.0000  0.7504  0.0000
Zr  0.5000  0.2496  0.5000
Pu  0.5000  0.2505  0.0000
Pu  0.0000  0.7495  0.5000

## Properties
Its space-group type is Pmmn (59). The volume comes out at 542.6 Å³/cell. Its size of the total moment is 8.00 Bohr magnetons per cell. For the energy relative to the elements, uncorrected, the calculation gives -39.322 kcal/mol of atoms.

Entry 10:
This record from Alexandria via LeMat-Bulk describes an optimized crystal structure of LiScCr2. The functional is PBE.

Unit cell a=3.2344 b=4.2463 c=4.6120 alpha=90.00 beta=90.00 gamma=90.00
Element x y z (fractional)
Cr  0.5000  0.5000  0.0000
Cr  0.0000  0.0000  0.0000
Sc  0.0000  0.5000  0.5000
Li  0.5000  0.0000  0.5000

## Properties
Its space-group type is Pmmm (47). The volume comes out at 63.3 Å³/cell. The relative energy among the computed polymorphs comes out at 0.126 eV/atom. Its size of the total moment is 0.21 Bohr magnetons per cell.

Entry 11:
This record from Alexandria via LeMat-Bulk describes an optimized crystal structure of PrPuTc. The functional is PBE.

Unit cell a=6.2312 b=7.2953 c=7.4574 alpha=90.00 beta=115.77 gamma=90.00
Element x y z (fractional)
Pr  0.6769  0.1535  0.9144
Pr  0.8231  0.6535  0.5856
Pr  0.3231  0.8465  0.0856
Pr  0.1769  0.3465  0.4144
Tc  0.0341  0.0631  0.6948
Tc  0.5341  0.4369  0.1948
Tc  0.4659  0.5631  0.8052
Tc  0.9659  0.9369  0.3052
Pu  0.1577  0.3307  0.9161
Pu  0.3423  0.8307  0.5839
Pu  0.6577  0.1693  0.4161
Pu  0.8423  0.6693  0.0839

## Properties
Its space-group type is P2_1/c (14). The volume comes out at 305.3 Å³/cell. The relative energy among the computed polymorphs comes out at 0.000 eV/atom. Its size of the total moment is 18.46 Bohr magnetons per cell.

Entry 12:
This record from Alexandria via LeMat-Bulk describes an optimized crystal structure of LiPr4Al3O12. The functional is PBE.

Unit cell a=6.5989 b=6.5989 c=6.5989 alpha=109.47 beta=109.47 gamma=109.47
Element x y z (fractional)
Li  0.0000  0.0000  0.0000
O  0.2603  0.2603  0.0000
O  0.5000  0.7500  0.2500
O  0.7397  0.7397  0.0000
O  0.5000  0.2500  0.7500
O  0.2603  0.0000  0.2603
O  0.0000  0.2603  0.2603
O  0.2500  0.5000  0.7500
O  0.7500  0.2500  0.5000
O  0.0000  0.7397  0.7397
O  0.7397  0.0000  0.7397
O  0.7500  0.5000  0.2500
O  0.2500  0.7500  0.5000
Pr  0.0000  0.0000  0.5000
Pr  0.5000  0.0000  0.0000
Pr  0.5000  0.5000  0.5000
Pr  0.0000  0.5000  0.0000
Al  0.5000  0.0000  0.5000
Al  0.0000  0.5000  0.5000
Al  0.5000  0.5000  0.0000

## Properties
Its space-group type is Im-3m (229). The volume comes out at 221.2 Å³/cell. Its size of the total moment is 1.81 Bohr magnetons per cell. For the energy relative to the elements, uncorrected, the calculation gives -66.289 kcal/mol of atoms.